Lu4Sc2Au3C3: optimized geometry, PBE.

Geometry as POSCAR:
```
Lu4Sc2Au3C3
1.0
-1.634 4.450 -3.657
-1.899 -1.219 -5.546
-12.730 -2.068 7.994
Au C Lu Sc
6 6 8 4
direct
0.584 0.886 0.250
0.056 0.944 0.250
0.114 0.416 0.250
0.886 0.584 0.750
0.944 0.056 0.750
0.416 0.114 0.750
0.500 0.000 0.000
0.818 0.341 0.000
0.659 0.182 0.500
0.000 0.500 0.500
0.341 0.818 0.500
0.182 0.659 0.000
0.864 0.696 0.088
0.195 0.030 0.088
0.970 0.805 0.412
0.304 0.136 0.412
0.696 0.864 0.588
0.030 0.195 0.588
0.805 0.970 0.912
0.136 0.304 0.912
0.528 0.360 0.085
0.640 0.472 0.415
0.360 0.528 0.585
0.472 0.640 0.915
```

Properties
Space group: C2/c (15)
Calculated total energy (eV/atom): -6.20